# CsTaAg2Br8, relaxed, DFT PBE-GGA
data_CsTaAg2Br8
_chemical_formula_sum 'Cs1 Ta1 Ag2 Br8'
_space_group_name_H-M_alt 'P -1'
_space_group_IT_number 2
_cell_length_a 6.726
_cell_length_b 8.112
_cell_length_c 9.261
_cell_angle_alpha 107.63
_cell_angle_beta 96.40
_cell_angle_gamma 91.53
loop_
_space_group_symop_operation_xyz
'x,y,z'
'-x,-y,-z'
loop_
_atom_site_label
_atom_site_fract_x
_atom_site_fract_y
_atom_site_fract_z
_atom_site_occupancy
Cs1 0.000 0.000 0.000 1
Ta1 0.000 0.500 0.500 1
Ag1 0.494 0.527 0.166 1
Br1 0.088 0.490 0.235 1
Br2 0.194 0.788 0.614 1
Br3 0.312 0.342 0.544 1
Br4 0.494 0.784 0.038 1
# Energy = -3.51 eV/atom